This record from the Alexandria database describes a PBEsol-optimized structure of Zr5Ga3. The functional is SCAN.

Values from the calculation:
E_form in meV/atom: -606.2
DOS(E_F) in states/eV per atom: 1.18
Raw total energy in Ha/atom: -0.953

Lattice parameters (Å, degrees): 8.0843 8.0843 5.5280 90.00 90.00 120.00
Space group P6_3/mcm (No. 193)
One atom of each set of equivalent atoms:
Zr1 0.0000 0.2426 0.2500 x6
Zr2 0.3333 0.6667 0.0000 x4
Ga1 0.0000 0.3904 0.7500 x6

=====

This record from the Alexandria database describes a PBEsol-optimized structure of TiTeP2Ru. The functional is SCAN.

Values from the calculation:
E_form (uncorrected) in eV per atom: 0.717
DOS(E_F) in states/eV per atom: 0.71
Raw total energy in Ha/atom: -0.774

Lattice parameters (Å, degrees): 4.587 4.587 4.618 90.00 90.00 90.00
Space group P4/mmm (No. 123)
One atom of each set of equivalent atoms:
Ti1 0.000 0.000 0.000 x1
Te1 0.500 0.500 0.500 x1
P1 0.000 0.500 0.000 x2
Ru1 0.000 0.000 0.500 x1

=====

This record from the Alexandria database describes a PBEsol-optimized structure of Dy2Ga9Ru3. The functional is SCAN.

Values from the calculation:
E_form in meV/atom: -631.2
DOS(E_F) in states/eV per atom: 0.38
Raw total energy in Ha/atom: -0.935

Lattice parameters (Å, degrees): 12.659 7.485 9.556 90.00 90.00 90.00
Space group Cmcm (No. 63)
One atom of each set of equivalent atoms:
Dy1 0.161 0.163 0.250 x8
Ga1 0.000 0.134 0.750 x4
Ga2 0.000 0.338 0.062 x8
Ga3 0.108 0.449 0.750 x8
Ga4 0.164 0.175 0.578 x16
Ru1 0.000 0.000 0.000 x4
Ru2 0.177 0.500 0.000 x8

=====

This record from the Alexandria database describes a PBEsol-optimized structure of YScBe2. The functional is SCAN.

Values from the calculation:
E_form in meV/atom: 19.9
DOS(E_F) in states/eV per atom: 0.88
Raw total energy in Ha/atom: -0.466

Lattice parameters (Å, degrees): 3.918 3.362 10.930 90.00 90.00 90.00
Space group Amm2 (No. 38)
One atom of each set of equivalent atoms:
Y1 0.000 0.000 0.000 x2
Sc1 0.500 0.000 0.706 x2
Be1 0.000 0.000 0.286 x2
Be2 0.500 0.000 0.390 x2

=====

This record from the Alexandria database describes a PBEsol-optimized structure of Y2MnCoO6. The functional is SCAN.

Values from the calculation:
E_form (uncorrected) in eV per atom: -2.915
DOS(E_F) in states/eV per atom: 0.17
Raw total energy in Ha/atom: -0.580

Lattice parameters (Å, degrees): 5.144 5.492 8.920 90.00 124.59 90.00
Space group P2_1/c (No. 14)
One atom of each set of equivalent atoms:
Y1 0.229 0.074 0.250 x4
Mn1 0.500 0.000 0.000 x2
Co1 0.000 0.000 0.500 x2
O1 0.146 0.197 0.951 x4
O2 0.257 0.702 0.950 x4
O3 0.350 0.028 0.750 x4

=====

This record from the Alexandria database describes a PBEsol-optimized structure of RbHfB3. The functional is SCAN.

Values from the calculation:
E_form in meV/atom: 1480.6
DOS(E_F) in states/eV per atom: 0.84
Raw total energy in Ha/atom: -0.722

Lattice parameters (Å, degrees): 4.643 4.643 4.643 90.00 90.00 90.00
Space group Pm-3m (No. 221)
One atom of each set of equivalent atoms:
Rb1 0.000 0.000 0.000 x1
Hf1 0.500 0.500 0.500 x1
B1 0.000 0.500 0.500 x3

=====

This record from the Alexandria database describes a PBEsol-optimized structure of ZrSc2Cl. The functional is SCAN.

Values from the calculation:
E_form (uncorrected) in eV per atom: -0.318
DOS(E_F) in states/eV per atom: 1.20
Raw total energy in Ha/atom: -0.629

Lattice parameters (Å, degrees): 3.068 5.261 10.308 90.00 90.00 90.00
Space group Imm2 (No. 44)
One atom of each set of equivalent atoms:
Zr1 0.000 0.000 0.000 x2
Sc1 0.000 0.000 0.574 x2
Sc2 0.000 0.500 0.781 x2
Cl1 0.000 0.500 0.287 x2

=====

This record from the Alexandria database describes a PBEsol-optimized structure of Mg3As. The functional is SCAN.

Values from the calculation:
E_form in meV/atom: -85.4
DOS(E_F) in states/eV per atom: 0.30
Raw total energy in Ha/atom: -0.326

Lattice parameters (Å, degrees): 9.720 6.638 5.211 90.00 90.00 90.00
Space group Cmcm (No. 63)
One atom of each set of equivalent atoms:
Mg1 0.000 0.173 0.250 x4
Mg2 0.219 0.132 0.750 x8
As1 0.000 0.425 0.750 x4